# GGA-PBE PrNpSn2, relaxed
# - theoretical density (g/cm3) = 9.38
# - energy above the most stable polymorph in this dataset (eV per atom) = 0.0000
# - symmetry = P4/mmm (123)
# - formation enthalpy at 0 K (eV/atom) = -0.325
# - Fermi-level density of states (states/eV/cell) = 6.9
# - crystal system = tetragonal
data_PrNpSn2
_chemical_formula_sum 'Pr1 Np1 Sn2'
_cell_length_a 3.446
_cell_length_b 3.446
_cell_length_c 9.169
_cell_angle_alpha 90.00
_cell_angle_beta 90.00
_cell_angle_gamma 90.00
_symmetry_space_group_name_H-M 'P 1'
_symmetry_Int_Tables_number 1
_symmetry_space_group_name_Hall 'P 1'
loop_
_atom_site_label
_atom_site_fract_x
_atom_site_fract_y
_atom_site_fract_z
Pr1 0.500 0.500 0.500
Np1 0.500 0.500 0.000
Sn1 0.000 0.000 0.758
Sn2 0.000 0.000 0.242